Record 1
First-principles (PBE) data for an optimized crystal structure of Ac2Pm2Sm7, as listed in Alexandria via LeMat-Bulk.

Properties
Distance to the lowest polymorph of the same formula ... 187.6 meV/atom
Formation energy ... 3.83 eV per formula unit

a = 7.141 Å, b = 7.141 Å, c = 9.582 Å
α = 90.00°, β = 90.00°, γ = 122.17°
Fractional coordinates of all 11 atoms:
Ac: 0.248 0.248 0.000
Ac: 0.752 0.752 0.000
Pm: 0.264 0.736 0.500
Pm: 0.736 0.264 0.500
Sm: 0.000 0.000 0.500
Sm: 0.000 0.500 0.187
Sm: 0.000 0.500 0.813
Sm: 0.500 0.000 0.187
Sm: 0.500 0.000 0.813
Sm: 0.500 0.500 0.326
Sm: 0.500 0.500 0.674

=====

Record 2
First-principles (PBE) data for an optimized crystal structure of Ac12PmSm5, as listed in Alexandria via LeMat-Bulk.

Properties
Formation energy ... 0.79 eV per formula unit

a = 11.620 Å, b = 11.620 Å, c = 6.699 Å
α = 106.19°, β = 106.19°, γ = 60.14°
Fractional coordinates of all 18 atoms:
Ac: 0.002 0.331 0.500
Ac: 0.164 0.836 0.000
Ac: 0.169 0.497 0.000
Ac: 0.331 0.002 0.500
Ac: 0.336 0.664 0.500
Ac: 0.497 0.169 0.000
Ac: 0.503 0.831 0.000
Ac: 0.664 0.336 0.500
Ac: 0.669 0.998 0.500
Ac: 0.831 0.503 0.000
Ac: 0.836 0.164 0.000
Ac: 0.998 0.669 0.500
Pm: 0.000 0.000 0.500
Sm: 0.167 0.167 0.000
Sm: 0.333 0.333 0.500
Sm: 0.500 0.500 0.000
Sm: 0.667 0.667 0.500
Sm: 0.833 0.833 0.000